No. 1
This record from Alexandria via LeMat-Bulk describes an optimized crystal structure of CdFe2Ru. The functional is PBE.

Geometry as CIF:
```
data_CdFe2Ru
_chemical_formula_sum 'Cd2 Fe4 Ru2'
_cell_length_a 3.835
_cell_length_b 3.835
_cell_length_c 7.913
_cell_angle_alpha 90.00
_cell_angle_beta 90.00
_cell_angle_gamma 90.00
_space_group_name_H-M_alt 'I -4 m 2'
_space_group_IT_number 119
_space_group_name_Hall 'I -4 -2'
loop_
_atom_site_label
_atom_site_type_symbol
_atom_site_fract_x
_atom_site_fract_y
_atom_site_fract_z
Cd1 Cd 0.000 0.000 0.000
Fe1 Fe 0.000 0.000 0.500
Fe2 Fe 0.000 0.500 0.750
Ru1 Ru 0.000 0.500 0.250
```

---

No. 2
# Cd2FeRu PBE relaxed
data_Cd2FeRu
_chemical_formula_sum 'Cd6 Fe3 Ru3'
_cell_length_a 2.8511
_cell_length_b 2.8511
_cell_length_c 28.5452
_cell_angle_alpha 90.00
_cell_angle_beta 90.00
_cell_angle_gamma 120.00
_space_group_name_H-M_alt 'R 3 m'
_space_group_IT_number 160
_space_group_name_Hall 'R 3 -2"'
loop_
_atom_site_label
_atom_site_type_symbol
_atom_site_fract_x
_atom_site_fract_y
_atom_site_fract_z
Cd1 Cd 0.0000 0.0000 0.0000
Cd2 Cd 0.0000 0.0000 0.2335
Fe1 Fe 0.0000 0.0000 0.4846
Ru1 Ru 0.0000 0.0000 0.7522
# **Distance to the lowest polymorph of the same formula**: 84 meV per atom

---

No. 3
This record from Alexandria via LeMat-Bulk describes an optimized crystal structure of Cd4FeRu. The functional is PBE.

Geometry as CIF:
```
data_Cd4FeRu
_chemical_formula_sum 'Cd16 Fe4 Ru4'
_cell_length_a 7.717
_cell_length_b 7.717
_cell_length_c 7.717
_cell_angle_alpha 90.00
_cell_angle_beta 90.00
_cell_angle_gamma 90.00
_space_group_name_H-M_alt 'F -4 3 m'
_space_group_IT_number 216
_space_group_name_Hall 'F -4 2 3'
loop_
_atom_site_label
_atom_site_type_symbol
_atom_site_fract_x
_atom_site_fract_y
_atom_site_fract_z
Cd1 Cd 0.125 0.125 0.125
Fe1 Fe 0.250 0.250 0.750
Ru1 Ru 0.000 0.000 0.500
```

---

Computed calculated formation energy, in the same sequence as the records: 0.380, 0.267, 0.626 eV/atom.